a.
# KBaTc3, relaxed, DFT PBE
data_KBaTc3
_space_group_name_H-M_alt 'P 1'
_space_group_IT_number 1
_cell_length_a 5.310
_cell_length_b 5.310
_cell_length_c 5.310
_cell_angle_alpha 90.00
_cell_angle_beta 90.00
_cell_angle_gamma 90.00
loop_
_space_group_symop_operation_xyz
'x,y,z'
loop_
_atom_site_label
_atom_site_type_symbol
_atom_site_fract_x
_atom_site_fract_y
_atom_site_fract_z
K1 K 0.000 0.000 0.000
Ba1 Ba 0.500 0.500 0.500
Tc1 Tc 0.000 0.500 0.500
Tc2 Tc 0.500 0.000 0.500
Tc3 Tc 0.500 0.500 0.000
# * space group: Pm-3m (221)
# * calculated volume: 149.7 Å³ per cell

=====

b.
# KBaTc3, relaxed, DFT PBE
data_KBaTc3
_space_group_name_H-M_alt 'P 1'
_space_group_IT_number 1
_cell_length_a 5.244
_cell_length_b 5.244
_cell_length_c 5.244
_cell_angle_alpha 90.00
_cell_angle_beta 90.00
_cell_angle_gamma 90.00
loop_
_space_group_symop_operation_xyz
'x,y,z'
loop_
_atom_site_label
_atom_site_type_symbol
_atom_site_fract_x
_atom_site_fract_y
_atom_site_fract_z
K1 K 0.000 0.000 0.000
Ba1 Ba 0.500 0.500 0.500
Tc1 Tc 0.000 0.000 0.500
Tc2 Tc 0.000 0.500 0.000
Tc3 Tc 0.500 0.000 0.000
# * space group: Pm-3m (221)
# * calculated volume: 144.2 Å³ per cell

=====

Which one sits at the top of the stability order? a does.

=====

a.
# KBa2Tc, relaxed, DFT PBE
data_KBa2Tc
_space_group_name_H-M_alt 'P 1'
_space_group_IT_number 1
_cell_length_a 6.831
_cell_length_b 6.831
_cell_length_c 6.831
_cell_angle_alpha 134.82
_cell_angle_beta 134.82
_cell_angle_gamma 65.81
loop_
_space_group_symop_operation_xyz
'x,y,z'
loop_
_atom_site_label
_atom_site_type_symbol
_atom_site_fract_x
_atom_site_fract_y
_atom_site_fract_z
K1 K 0.000 0.000 0.000
Ba1 Ba 0.500 0.500 0.000
Ba2 Ba 0.750 0.250 0.500
Tc1 Tc 0.250 0.750 0.500
# * space group: I-4m2 (119)
# * calculated volume: 157.9 Å³ per cell

=====

b.
# KBa2Tc, relaxed, DFT PBE
data_KBa2Tc
_space_group_name_H-M_alt 'P 1'
_space_group_IT_number 1
_cell_length_a 6.086
_cell_length_b 6.086
_cell_length_c 6.086
_cell_angle_alpha 60.00
_cell_angle_beta 60.00
_cell_angle_gamma 60.00
loop_
_space_group_symop_operation_xyz
'x,y,z'
loop_
_atom_site_label
_atom_site_type_symbol
_atom_site_fract_x
_atom_site_fract_y
_atom_site_fract_z
K1 K 0.000 0.000 0.000
Ba1 Ba 0.250 0.250 0.250
Ba2 Ba 0.500 0.500 0.500
Tc1 Tc 0.750 0.750 0.750
# * space group: F-43m (216)
# * calculated volume: 159.4 Å³ per cell

=====

c.
# KBa2Tc, relaxed, DFT PBE
data_KBa2Tc
_space_group_name_H-M_alt 'P 1'
_space_group_IT_number 1
_cell_length_a 12.693
_cell_length_b 12.693
_cell_length_c 12.693
_cell_angle_alpha 18.30
_cell_angle_beta 18.30
_cell_angle_gamma 18.30
loop_
_space_group_symop_operation_xyz
'x,y,z'
loop_
_atom_site_label
_atom_site_type_symbol
_atom_site_fract_x
_atom_site_fract_y
_atom_site_fract_z
K1 K 0.000 0.000 0.000
Ba1 Ba 0.223 0.223 0.223
Ba2 Ba 0.777 0.777 0.777
Tc1 Tc 0.500 0.500 0.500
# * space group: R-3m (166)
# * calculated volume: 176.0 Å³ per cell

=====

d.
# KBa2Tc, relaxed, DFT PBE
data_KBa2Tc
_space_group_name_H-M_alt 'P 1'
_space_group_IT_number 1
_cell_length_a 10.009
_cell_length_b 10.009
_cell_length_c 5.319
_cell_angle_alpha 105.31
_cell_angle_beta 105.31
_cell_angle_gamma 21.21
loop_
_space_group_symop_operation_xyz
'x,y,z'
loop_
_atom_site_label
_atom_site_type_symbol
_atom_site_fract_x
_atom_site_fract_y
_atom_site_fract_z
K1 K 0.000 0.000 0.000
Ba1 Ba 0.686 0.686 0.687
Ba2 Ba 0.842 0.842 0.342
Tc1 Tc 0.323 0.323 0.823
# * space group: Cm (8)
# * calculated volume: 185.6 Å³ per cell

=====

Which one sits at the top of the stability order? c does.

=====

a.
# KBa2Tc, relaxed, DFT PBE
data_KBa2Tc
_space_group_name_H-M_alt 'P 1'
_space_group_IT_number 1
_cell_length_a 3.984
_cell_length_b 4.550
_cell_length_c 10.720
_cell_angle_alpha 90.00
_cell_angle_beta 90.00
_cell_angle_gamma 90.00
loop_
_space_group_symop_operation_xyz
'x,y,z'
loop_
_atom_site_label
_atom_site_type_symbol
_atom_site_fract_x
_atom_site_fract_y
_atom_site_fract_z
K1 K 0.000 0.000 0.000
Ba1 Ba 0.000 0.000 0.371
Ba2 Ba 0.500 0.500 0.665
Tc1 Tc 0.500 0.500 0.423
# * space group: Pmm2 (25)
# * calculated volume: 194.3 Å³ per cell

=====

b.
# KBa2Tc, relaxed, DFT PBE
data_KBa2Tc
_space_group_name_H-M_alt 'P 1'
_space_group_IT_number 1
_cell_length_a 4.812
_cell_length_b 4.812
_cell_length_c 11.273
_cell_angle_alpha 96.08
_cell_angle_beta 96.08
_cell_angle_gamma 50.93
loop_
_space_group_symop_operation_xyz
'x,y,z'
loop_
_atom_site_label
_atom_site_type_symbol
_atom_site_fract_x
_atom_site_fract_y
_atom_site_fract_z
K1 K 0.000 0.000 0.000
Ba1 Ba 0.221 0.221 0.657
Ba2 Ba 0.779 0.779 0.343
Tc1 Tc 0.500 0.500 0.500
# * space group: C2/m (12)
# * calculated volume: 201.3 Å³ per cell

=====

Which one sits at the top of the stability order? b does.

=====

a.
# KBa2Tc, relaxed, DFT PBE
data_KBa2Tc
_space_group_name_H-M_alt 'P 1'
_space_group_IT_number 1
_cell_length_a 6.039
_cell_length_b 6.039
_cell_length_c 6.039
_cell_angle_alpha 60.00
_cell_angle_beta 60.00
_cell_angle_gamma 60.00
loop_
_space_group_symop_operation_xyz
'x,y,z'
loop_
_atom_site_label
_atom_site_type_symbol
_atom_site_fract_x
_atom_site_fract_y
_atom_site_fract_z
K1 K 0.000 0.000 0.000
Ba1 Ba 0.250 0.250 0.250
Ba2 Ba 0.750 0.750 0.750
Tc1 Tc 0.500 0.500 0.500
# * space group: Fm-3m (225)
# * calculated volume: 155.8 Å³ per cell

=====

b.
# KBa2Tc, relaxed, DFT PBE
data_KBa2Tc
_space_group_name_H-M_alt 'P 1'
_space_group_IT_number 1
_cell_length_a 3.841
_cell_length_b 3.843
_cell_length_c 11.678
_cell_angle_alpha 90.00
_cell_angle_beta 90.07
_cell_angle_gamma 90.00
loop_
_space_group_symop_operation_xyz
'x,y,z'
loop_
_atom_site_label
_atom_site_type_symbol
_atom_site_fract_x
_atom_site_fract_y
_atom_site_fract_z
K1 K 0.000 0.000 0.000
Ba1 Ba 0.498 0.500 0.335
Ba2 Ba 0.502 0.500 0.665
Tc1 Tc 0.000 0.000 0.500
# * space group: P2/m (10)
# * calculated volume: 172.4 Å³ per cell

=====

Which one sits at the top of the stability order? b does.

=====

a.
# KBa2Tc, relaxed, DFT PBE
data_KBa2Tc
_space_group_name_H-M_alt 'P 1'
_space_group_IT_number 1
_cell_length_a 5.846
_cell_length_b 5.846
_cell_length_c 4.706
_cell_angle_alpha 90.00
_cell_angle_beta 90.00
_cell_angle_gamma 90.00
loop_
_space_group_symop_operation_xyz
'x,y,z'
loop_
_atom_site_label
_atom_site_type_symbol
_atom_site_fract_x
_atom_site_fract_y
_atom_site_fract_z
K1 K 0.000 0.000 0.000
Ba1 Ba 0.000 0.500 0.500
Ba2 Ba 0.500 0.000 0.500
Tc1 Tc 0.500 0.500 0.000
# * space group: P4/mmm (123)
# * calculated volume: 160.8 Å³ per cell

=====

b.
# KBa2Tc, relaxed, DFT PBE
data_KBa2Tc
_space_group_name_H-M_alt 'P 1'
_space_group_IT_number 1
_cell_length_a 3.876
_cell_length_b 4.677
_cell_length_c 10.469
_cell_angle_alpha 90.00
_cell_angle_beta 96.66
_cell_angle_gamma 90.00
loop_
_space_group_symop_operation_xyz
'x,y,z'
loop_
_atom_site_label
_atom_site_type_symbol
_atom_site_fract_x
_atom_site_fract_y
_atom_site_fract_z
K1 K 0.000 0.000 0.000
Ba1 Ba 0.403 0.500 0.655
Ba2 Ba 0.626 0.000 0.363
Tc1 Tc 0.095 0.500 0.419
# * space group: Pm (6)
# * calculated volume: 188.5 Å³ per cell

=====

Which one sits at the top of the stability order? b does.

=====

a.
# KBa2Te2, relaxed, DFT PBE
data_KBa2Te2
_space_group_name_H-M_alt 'P 1'
_space_group_IT_number 1
_cell_length_a 9.469
_cell_length_b 9.469
_cell_length_c 4.683
_cell_angle_alpha 90.00
_cell_angle_beta 90.00
_cell_angle_gamma 90.00
loop_
_space_group_symop_operation_xyz
'x,y,z'
loop_
_atom_site_label
_atom_site_type_symbol
_atom_site_fract_x
_atom_site_fract_y
_atom_site_fract_z
K1 K 0.000 0.000 0.000
K2 K 0.500 0.500 0.000
Ba1 Ba 0.150 0.350 0.500
Ba2 Ba 0.350 0.850 0.500
Ba3 Ba 0.650 0.150 0.500
Ba4 Ba 0.850 0.650 0.500
Te1 Te 0.153 0.653 0.000
Te2 Te 0.347 0.153 0.000
Te3 Te 0.653 0.847 0.000
Te4 Te 0.847 0.347 0.000
# * space group: P4/mbm (127)
# * calculated volume: 419.9 Å³ per cell

=====

b.
# KBa2Te2, relaxed, DFT PBE
data_KBa2Te2
_space_group_name_H-M_alt 'P 1'
_space_group_IT_number 1
_cell_length_a 9.785
_cell_length_b 9.785
_cell_length_c 4.334
_cell_angle_alpha 90.00
_cell_angle_beta 90.00
_cell_angle_gamma 90.00
loop_
_space_group_symop_operation_xyz
'x,y,z'
loop_
_atom_site_label
_atom_site_type_symbol
_atom_site_fract_x
_atom_site_fract_y
_atom_site_fract_z
K1 K 0.000 0.000 0.000
K2 K 0.500 0.500 0.000
Ba1 Ba 0.139 0.361 0.000
Ba2 Ba 0.361 0.861 0.000
Ba3 Ba 0.639 0.139 0.000
Ba4 Ba 0.861 0.639 0.000
Te1 Te 0.160 0.660 0.500
Te2 Te 0.340 0.160 0.500
Te3 Te 0.660 0.840 0.500
Te4 Te 0.840 0.340 0.500
# * space group: P4/mbm (127)
# * calculated volume: 415.0 Å³ per cell

=====

c.
# KBa2Te2, relaxed, DFT PBE
data_KBa2Te2
_space_group_name_H-M_alt 'P 1'
_space_group_IT_number 1
_cell_length_a 8.087
_cell_length_b 8.087
_cell_length_c 8.087
_cell_angle_alpha 132.46
_cell_angle_beta 132.46
_cell_angle_gamma 69.50
loop_
_space_group_symop_operation_xyz
'x,y,z'
loop_
_atom_site_label
_atom_site_type_symbol
_atom_site_fract_x
_atom_site_fract_y
_atom_site_fract_z
K1 K 0.000 0.000 0.000
Ba1 Ba 0.324 0.324 0.000
Ba2 Ba 0.676 0.676 0.000
Te1 Te 0.250 0.750 0.500
Te2 Te 0.750 0.250 0.500
# * space group: I4/mmm (139)
# * calculated volume: 282.4 Å³ per cell

=====

Which one sits at the top of the stability order? a does.